## Ce2Al3Fe (PBE-GGA)

Data for an optimized crystal structure of Ce2Al3Fe.

## Properties
M_tot = 0.08 μB per atom
VASP energy = -5.600 eV/atom
Energy of formation from the pure elements = -2.04 eV/f.u.
Volume = 19.41 Å³/atom
SG = R-3m, No. 166

Cell lengths 5.459, 5.459, 5.459 Å; angles 60.55, 60.55, 60.55 degrees
Site moments in Bohr magnetons follow the coordinates.
Positions (direct):
Al 0.000 0.000 0.500  -0.01
Al 0.000 0.500 0.000  -0.01
Al 0.500 0.000 0.000  -0.01
Ce 0.374 0.374 0.374  -0.59
Ce 0.626 0.626 0.626  -0.59
Fe 0.000 0.000 0.000  2.05

## Ce2Al2FeGe4 (PBE-GGA)

Data for an optimized crystal structure of Ce2Al2FeGe4.

## Properties
M_tot = 0.07 μB per atom
VASP energy = -5.624 eV/atom
Energy of formation from the pure elements = -4.33 eV/f.u.
Volume = 18.60 Å³/atom
SG = I4/mmm, No. 139

Cell lengths 6.143, 6.143, 6.143 Å; angles 92.62, 118.50, 118.50 degrees
Site moments in Bohr magnetons follow the coordinates.
Positions (direct):
Ge 0.540 0.270 0.270  0.00
Ge 0.000 0.730 0.270  0.00
Ge 0.000 0.270 0.730  0.00
Ge 0.460 0.730 0.730  0.00
Ce 0.500 0.750 0.250  0.18
Ce 0.500 0.250 0.750  0.18
Fe 0.000 0.000 0.000  0.21
Al 0.000 0.715 0.715  0.00
Al 0.000 0.285 0.285  0.00

## CeAlFe2H6 (PBE-GGA)

Data for an optimized crystal structure of CeAlFe2H6.

## Properties
M_tot = 0.10 μB per atom
VASP energy = -4.949 eV/atom
Volume = 8.11 Å³/atom
SG = R-3m, No. 166

Cell lengths 4.257, 4.257, 5.720 Å; angles 68.15, 68.15, 60.00 degrees
Site moments in Bohr magnetons follow the coordinates.
Positions (direct):
H 0.434 0.434 0.196  0.00
H 0.434 0.937 0.196  0.00
H 0.937 0.434 0.196  0.00
H 0.063 0.566 0.804  0.00
H 0.566 0.566 0.804  0.00
H 0.566 0.063 0.804  0.00
Fe 0.204 0.204 0.387  0.70
Fe 0.796 0.796 0.613  0.70
Ce 0.000 0.000 0.000  -0.37
Al 0.500 0.500 0.500  -0.01

## Ce2AlFe2Ni5 (PBE-GGA)

Data for an optimized crystal structure of Ce2AlFe2Ni5.

## Properties
M_tot = 0.21 μB per atom
VASP energy = -6.387 eV/atom
Energy of formation from the pure elements = -2.43 eV/f.u.
Volume = 14.43 Å³/atom
SG = P4/mbm, No. 127

Cell lengths 3.832, 8.678, 8.678 Å; angles 90.00, 90.00, 90.00 degrees
Site moments in Bohr magnetons follow the coordinates.
Positions (direct):
Ni 0.500 0.562 0.700  0.15
Ni 0.500 0.300 0.562  0.15
Ni 0.500 0.200 0.062  0.15
Ni 0.500 0.938 0.200  0.15
Ni 0.500 0.062 0.800  0.15
Ni 0.500 0.000 0.500  0.07
Ni 0.500 0.800 0.938  0.15
Ni 0.500 0.700 0.438  0.15
Ni 0.500 0.438 0.300  0.15
Ni 0.500 0.500 0.000  0.07
Fe 0.000 0.359 0.141  1.12
Fe 0.000 0.641 0.859  1.12
Fe 0.000 0.141 0.641  1.12
Fe 0.000 0.859 0.359  1.12
Ce 0.000 0.824 0.676  -0.27
Ce 0.000 0.676 0.176  -0.27
Ce 0.000 0.324 0.824  -0.27
Ce 0.000 0.176 0.324  -0.27
Al 0.000 0.500 0.500  0.00
Al 0.000 0.000 0.000  0.00

## CeAl2Fe2P (PBE-GGA)

Data for an optimized crystal structure of CeAl2Fe2P.

## Properties
M_tot = 0.55 μB per atom
VASP energy = -6.411 eV/atom
Energy of formation from the pure elements = -2.71 eV/f.u.
Volume = 16.78 Å³/atom
SG = P4/mmm, No. 123

Cell lengths 4.251, 4.251, 5.571 Å; angles 90.00, 90.00, 90.00 degrees
Site moments in Bohr magnetons follow the coordinates.
Positions (direct):
Fe 0.000 0.500 0.000  1.45
Fe 0.500 0.000 0.000  1.45
Ce 0.000 0.000 0.500  0.45
P 0.000 0.000 0.000  0.00
Al 0.500 0.500 0.741  -0.02
Al 0.500 0.500 0.259  -0.02

## Ce2Al6FeRh (PBE-GGA)

Data for an optimized crystal structure of Ce2Al6FeRh.

## Properties
M_tot = 0.28 μB per atom
VASP energy = -5.426 eV/atom
Energy of formation from the pure elements = -4.13 eV/f.u.
Volume = 19.73 Å³/atom
SG = Fm-3m, No. 225

Cell lengths 6.535, 6.533, 6.535 Å; angles 60.00, 59.99, 90.00 degrees
Site moments in Bohr magnetons follow the coordinates.
Positions (direct):
Al 0.257 0.257 0.487  0.00
Al 0.743 0.743 0.000  0.00
Al 0.257 0.743 0.000  0.00
Al 0.257 0.257 0.000  0.00
Al 0.743 0.743 0.513  0.00
Al 0.743 0.257 0.000  0.00
Ce 0.750 0.250 0.500  0.96
Ce 0.250 0.750 0.500  0.96
Fe 0.500 0.500 0.000  0.41
Rh 0.000 0.000 0.000  0.07